# 1
The following is a DFT calculation (PBE) of a geometry-optimized BaErMgSb2 structure.

Summary:
The symmetry is Cmc2_1 (36). Its total energy is -4.09 eV per atom.

a b c (Å): 9.7045 9.7045 7.1460
angles (deg): 90.00 90.00 151.41
Last column: nearest neighbours and their distance in Å.
Fractional coordinates of all 10 atoms:
Sb 0.0565 0.9435 0.5026  2 Mg 2.95-2.96, 4 Er 3.18-3.21
Mg 0.9039 0.0961 0.4016  4 Sb 2.81-2.96
Mg 0.0961 0.9039 0.9016  4 Sb 2.81-2.96
Ba 0.3033 0.6967 0.0138  6 Sb 3.56-3.64, 1 Er 3.97, 1 Mg 3.98
Sb 0.6616 0.3384 0.0147  2 Mg 2.81, 1 Er 3.11
Sb 0.3384 0.6616 0.5147  2 Mg 2.81, 1 Er 3.11
Er 0.4835 0.5165 0.7231  5 Sb 3.11-3.21, 2 Mg 3.44
Er 0.5165 0.4835 0.2231  5 Sb 3.11-3.21, 2 Mg 3.44
Sb 0.9435 0.0565 0.0026  2 Mg 2.95-2.96, 4 Er 3.18-3.21
Ba 0.6967 0.3033 0.5138  6 Sb 3.56-3.64, 1 Er 3.97, 1 Mg 3.98

# 2
The following is a DFT calculation (PBE) of a geometry-optimized BaErMgSe3 structure.

Summary:
The symmetry is Cmcm (63). Its total energy is -4.64 eV per atom.

a b c (Å): 7.5631 7.5631 10.7804
angles (deg): 90.00 90.00 147.69
Last column: nearest neighbours and their distance in Å.
Fractional coordinates of all 12 atoms:
Se 0.3664 0.6336 0.5584  1 Mg 2.54
Se 0.6336 0.3664 0.0584  1 Mg 2.54
Mg 0.5318 0.4682 0.2500  4 Se 2.54-2.59
Se 0.0718 0.9282 0.7500  2 Mg 2.59, 2 Er 2.89
Ba 0.2504 0.7496 0.2500  8 Se 3.33-3.73
Mg 0.4682 0.5318 0.7500  4 Se 2.54-2.59
Se 0.6336 0.3664 0.4416  1 Mg 2.54
Er 0.0000 0.0000 0.5000  6 Se 2.89-2.93
Se 0.3664 0.6336 0.9416  1 Mg 2.54
Se 0.9282 0.0718 0.2500  2 Mg 2.59, 2 Er 2.89
Er 0.0000 0.0000 0.0000  6 Se 2.89-2.93
Ba 0.7496 0.2504 0.7500  8 Se 3.33-3.73

# 3
The following is a DFT calculation (PBE) of a geometry-optimized BaErMgTe3 structure.

Summary:
The symmetry is Cmcm (63). Its total energy is -4.13 eV per atom.

a b c (Å): 8.1269 8.1269 11.4352
angles (deg): 90.00 90.00 147.99
Last column: nearest neighbours and their distance in Å.
Fractional coordinates of all 12 atoms:
Ba 0.2602 0.7398 0.2500  8 Te 3.57-3.99, 2 Mg 3.99
Mg 0.0285 0.9715 0.7500  4 Te 2.78-2.83
Ba 0.7398 0.2602 0.7500  8 Te 3.57-3.99, 2 Mg 3.99
Er 0.5000 0.5000 0.5000  6 Te 3.13
Te 0.8658 0.1342 0.0540  1 Mg 2.78
Te 0.4181 0.5819 0.7500  2 Mg 2.83, 2 Er 3.13
Te 0.8658 0.1342 0.4460  1 Mg 2.78
Mg 0.9715 0.0285 0.2500  4 Te 2.78-2.83
Er 0.5000 0.5000 0.0000  6 Te 3.13
Te 0.1342 0.8658 0.9460  1 Mg 2.78
Te 0.5819 0.4181 0.2500  2 Mg 2.83, 2 Er 3.13
Te 0.1342 0.8658 0.5540  1 Mg 2.78